[1]
Dy2CuIr: relaxed, GGA-PBEsol.

Geometry as CIF:
```
data_Dy2CuIr
_chemical_formula_sum 'Dy2 Cu1 Ir1'
_cell_length_a 4.787
_cell_length_b 4.787
_cell_length_c 4.787
_cell_angle_alpha 60.00
_cell_angle_beta 60.00
_cell_angle_gamma 60.00
_symmetry_space_group_name_H-M 'P 1'
_symmetry_Int_Tables_number 1
loop_
_symmetry_equiv_pos_as_xyz
'x,y,z'
loop_
_atom_site_label
_atom_site_type_symbol
_atom_site_fract_x
_atom_site_fract_y
_atom_site_fract_z
Ir1 Ir 0.000 0.000 0.000
Cu1 Cu 0.500 0.500 0.500
Dy1 Dy 0.250 0.250 0.250
Dy2 Dy 0.750 0.750 0.750
```

- formation energy (eV per atom) = -0.57
- symmetry = No. 225



[2]
K2Dy4Cu4Se9: relaxed, GGA-PBEsol.

Geometry as CIF:
```
data_K2Dy4Cu4Se9
_chemical_formula_sum 'K2 Dy4 Cu4 Se9'
_cell_length_a 4.044
_cell_length_b 7.317
_cell_length_c 15.528
_cell_angle_alpha 81.91
_cell_angle_beta 82.52
_cell_angle_gamma 73.96
_symmetry_space_group_name_H-M 'P 1'
_symmetry_Int_Tables_number 1
loop_
_symmetry_equiv_pos_as_xyz
'x,y,z'
loop_
_atom_site_label
_atom_site_type_symbol
_atom_site_fract_x
_atom_site_fract_y
_atom_site_fract_z
K1 K 0.033 0.204 0.730
K2 K 0.967 0.796 0.270
Dy1 Dy 0.232 0.640 0.897
Dy2 Dy 0.345 0.754 0.556
Dy3 Dy 0.655 0.246 0.444
Dy4 Dy 0.768 0.360 0.103
Cu1 Cu 0.423 0.181 0.973
Cu2 Cu 0.759 0.752 0.729
Cu3 Cu 0.241 0.248 0.271
Cu4 Cu 0.577 0.819 0.027
Se1 Se 0.866 0.346 0.921
Se2 Se 0.606 0.919 0.869
Se3 Se 0.357 0.564 0.723
Se4 Se 0.698 0.000 0.605
Se5 Se 0.000 0.500 0.500
Se6 Se 0.302 0.000 0.395
Se7 Se 0.643 0.436 0.277
Se8 Se 0.394 0.081 0.131
Se9 Se 0.134 0.654 0.079
```

- formation energy from raw total energies (meV/atom) = -1292
- symmetry = No. 12



[3]
DyMg2Cu9: relaxed, GGA-PBEsol.

Geometry as CIF:
```
data_DyMg2Cu9
_chemical_formula_sum 'Dy2 Mg4 Cu18'
_cell_length_a 4.913
_cell_length_b 4.913
_cell_length_c 15.909
_cell_angle_alpha 90.00
_cell_angle_beta 90.00
_cell_angle_gamma 120.00
_symmetry_space_group_name_H-M 'P 1'
_symmetry_Int_Tables_number 1
loop_
_symmetry_equiv_pos_as_xyz
'x,y,z'
loop_
_atom_site_label
_atom_site_type_symbol
_atom_site_fract_x
_atom_site_fract_y
_atom_site_fract_z
Dy1 Dy 0.667 0.333 0.250
Dy2 Dy 0.333 0.667 0.750
Mg1 Mg 0.333 0.667 0.967
Mg2 Mg 0.667 0.333 0.033
Mg3 Mg 0.667 0.333 0.467
Mg4 Mg 0.333 0.667 0.533
Cu1 Cu 0.832 0.664 0.876
Cu2 Cu 0.664 0.832 0.376
Cu3 Cu 0.336 0.168 0.624
Cu4 Cu 0.000 0.000 0.250
Cu5 Cu 0.664 0.832 0.124
Cu6 Cu 0.168 0.336 0.124
Cu7 Cu 0.832 0.168 0.624
Cu8 Cu 0.832 0.168 0.876
Cu9 Cu 0.000 0.000 0.000
Cu10 Cu 0.168 0.832 0.376
Cu11 Cu 0.333 0.667 0.250
Cu12 Cu 0.336 0.168 0.876
Cu13 Cu 0.000 0.000 0.500
Cu14 Cu 0.168 0.832 0.124
Cu15 Cu 0.667 0.333 0.750
Cu16 Cu 0.168 0.336 0.376
Cu17 Cu 0.832 0.664 0.624
Cu18 Cu 0.000 0.000 0.750
```

- formation energy (eV per atom) = -0.17
- symmetry = No. 194



no.,VASP energy (eV/atom),total magnetic moment (μB per atom)
1,-6.601,0.000
2,-5.195,0.000
3,-4.124,0.000